(1)
A plane-wave DFT calculation with SCAN was carried out for MgGe2Bi at its PBEsol-relaxed geometry.

Space-group type = Fm-3m
Magnetic moment = 0.00 μB per cell
Formation energy = 0.255 eV/atom

a = 5.0268 Å, b = 5.0268 Å, c = 5.0268 Å
α = 60.00°, β = 60.00°, γ = 60.00°
Fractional coordinates of all 4 atoms:
Mg 0.0000 0.0000 0.0000
Ge 0.2500 0.2500 0.2500
Ge 0.7500 0.7500 0.7500
Bi 0.5000 0.5000 0.5000



(2)
A plane-wave DFT calculation with SCAN was carried out for Ge3MoS at its PBEsol-relaxed geometry.

Space-group type = Pm-3m
Energy above the most stable polymorph in this dataset = 558 meV/atom
Magnetic moment = 3.23 μB per cell
E_form (uncorrected) = 1177 meV per atom

a = 4.6193 Å, b = 4.6193 Å, c = 4.6193 Å
α = 90.00°, β = 90.00°, γ = 90.00°
Last column: magnetic moment on the atom in μB.
Fractional coordinates of all 5 atoms:
S 0.0000 0.0000 0.0000  -0.06
Mo 0.5000 0.5000 0.5000  3.13
Ge 0.0000 0.5000 0.0000  -0.04
Ge 0.0000 0.0000 0.5000  -0.04
Ge 0.5000 0.0000 0.0000  -0.04



(3)
A plane-wave DFT calculation with SCAN was carried out for Li2IrW at its PBEsol-relaxed geometry.

Space-group type = R-3m
Magnetic moment = 0.00 μB per cell
Formation energy = 0.123 eV/atom

a = 2.6534 Å, b = 2.6534 Å, c = 9.4753 Å
α = 81.95°, β = 81.95°, γ = 60.00°
Fractional coordinates of all 4 atoms:
Ir 0.0000 0.0000 0.0000
Li 0.2561 0.2561 0.2316
Li 0.7439 0.7439 0.7684
W 0.5000 0.5000 0.5000



(4)
A plane-wave DFT calculation with SCAN was carried out for YPSe2 at its PBEsol-relaxed geometry.

Space-group type = I4/mmm
Magnetic moment = 0.00 μB per cell
E_form (uncorrected) = -602 meV per atom

a = 4.0305 Å, b = 4.0305 Å, c = 5.6488 Å
α = 110.90°, β = 110.90°, γ = 90.00°
Fractional coordinates of all 4 atoms:
P 0.0000 0.0000 0.0000
Se 0.7500 0.2500 0.5000
Se 0.2500 0.7500 0.5000
Y 0.5000 0.5000 0.0000



Looking at V for the records above, in order, we have 89.82, 98.57, 57.01, 79.23 Å³/cell.